Material: Pu2AlCr
Method: DFT, PBE-GGA
State: optimized geometry Values from VASP.

Summary:
* M_tot: 1.84 μB/atom
* symmetry: No. 123
* DOS at the Fermi energy: 8.325 states/eV per cell
* formation energy from the elements: 0.10 eV/f.u.
* ΔE to the lowest computed polymorph: 0.00 kcal/mol of atoms
* E_tot: -41.93 eV per cell

Structure (Quantum ESPRESSO input):
```
&SYSTEM
  ibrav = 0, nat = 4, ntyp = 3
/
ATOMIC_SPECIES
Cr 52.00 Cr.upf
Al 26.98 Al.upf
Pu 244.00 Pu.upf
ATOMIC_POSITIONS crystal
Cr 0.5000 0.5000 0.5000
Al 0.5000 0.0000 0.0000
Pu 0.0000 0.0000 0.5000
Pu 0.0000 0.5000 0.0000
CELL_PARAMETERS angstrom
4.4095 0.0000 0.0000
0.0000 4.2076 0.0000
0.0000 0.0000 4.2076
```